A plane-wave DFT calculation with GGA-PBE was carried out for a relaxed structure of LaY2OsC2.

abc: 5.744 11.136 3.844
angles: 90.00 90.00 90.00
Fractional positions:
La 0.000 0.000 0.000
La 0.500 0.500 0.500
Y 0.021 0.297 0.500
Y 0.479 0.797 0.000
Y 0.521 0.203 0.000
Y 0.979 0.703 0.500
Os 0.000 0.500 0.000
Os 0.500 0.000 0.500
C 0.245 0.374 0.000
C 0.255 0.874 0.500
C 0.745 0.126 0.500
C 0.755 0.626 0.000

---

A plane-wave DFT calculation with GGA-PBE was carried out for a relaxed structure of La2Zn2Os2C.

abc: 5.771 5.771 7.565
angles: 122.18 122.18 41.05
Fractional positions:
La 0.069 0.069 0.289
La 0.931 0.931 0.711
Zn 0.364 0.364 0.329
Zn 0.636 0.636 0.671
Os 0.302 0.302 0.943
Os 0.698 0.698 0.057
C 0.500 0.500 0.000

---

A plane-wave DFT calculation with GGA-PBE was carried out for a relaxed structure of LaPC3.

E above lowest polymorph	2171	meV per atom

abc: 4.488 4.488 4.488
angles: 90.00 90.00 90.00
Fractional positions:
La 0.000 0.000 0.000
P 0.500 0.500 0.500
C 0.000 0.000 0.500
C 0.000 0.500 0.000
C 0.500 0.000 0.000

---

A plane-wave DFT calculation with GGA-PBE was carried out for a relaxed structure of LaPC3.

E above lowest polymorph	0	meV per atom

abc: 3.827 3.827 3.827
angles: 90.00 90.00 90.00
Fractional positions:
La 0.000 0.000 0.000
P 0.500 0.500 0.500
C 0.000 0.500 0.500
C 0.500 0.000 0.500
C 0.500 0.500 0.000

---

E_tot
In order: -8.107 -6.524 -4.392 -6.563
Unit: eV/atom